# KPa2TiO8

A geometry-optimized KPa2TiO8 structure (PBE-GGA, the Alexandria database).

Crystal system: monoclinic
V: 15.0 Å³ per atom
Raw formation energy: -2.895 eV per atom
Space-group type: P2/m (10)

Unit cell a=5.024 b=5.015 c=7.142 alpha=89.99 beta=90.00 gamma=87.37
Last column: magnetic moment on the atom in μB.
Fractional positions:
K (0.000, 0.000, 0.500)  0.00
Pa (0.500, 0.500, 0.752)  -0.02
Pa (0.500, 0.500, 0.248)  -0.02
Ti (0.000, 0.000, 0.000)  -0.04
O (0.197, 0.800, 0.195)  0.10
O (0.706, 0.709, 0.000)  0.14
O (0.803, 0.200, 0.195)  0.10
O (0.803, 0.200, 0.805)  0.10
O (0.294, 0.291, 0.000)  0.14
O (0.197, 0.800, 0.805)  0.10
O (0.664, 0.670, 0.500)  0.04
O (0.336, 0.330, 0.500)  0.04